A plane-wave DFT calculation with GGA-PBE was carried out for LiHgPb2 after structural relaxation.

The structure belongs to space group Pm (No. 6); the cell edges are 3.6024, 4.7952 and 6.2916 Å and the angles 90.00°, 106.41° and 90.00°. Symmetry generates all atoms from Li at (0.0000, 0.0000, 0.0000), Hg at (0.8833, 0.5000, 0.7524), Pb at (0.2679, 0.0000, 0.5204) and Pb at (0.6019, 0.5000, 0.2100).

As for the formation energy: -45 kJ/mol of formula units. As for the volume: 26.06 A^3/atom. For the theoretical density, the calculation gives 9906 kg/m3.

A plane-wave DFT calculation with GGA-PBE was carried out for PaI2 after structural relaxation.

The structure belongs to space group F-43m (No. 216); the cell edges are 12.1524, 12.1524 and 12.1524 Å and the angles 90.00°, 90.00° and 90.00°. Symmetry generates all atoms from Pa at (0.1105, 0.1105, 0.3895), I at (0.1227, 0.1227, 0.1227) and I at (0.1403, 0.1403, 0.6403).

As for the volume: 37.39 A^3/atom. The value obtained for the total DFT energy (no corrections) is -4.795 eV per atom. For the theoretical density, the calculation gives 7178 kg/m3.

A plane-wave DFT calculation with GGA-PBE was carried out for Fe2Rh after structural relaxation.

The structure belongs to space group Cmcm (No. 63); the cell edges are 4.1958, 12.6936 and 2.9219 Å and the angles 90.00°, 90.00° and 90.00°. Symmetry generates all atoms from Fe at (0.0000, 0.0814, 0.2500), Fe at (0.0000, 0.2449, 0.7500) and Rh at (0.0000, 0.4086, 0.2500).

As for the formation energy: -1 kJ/mol of formula units. As for the volume: 12.97 A^3/atom. For the theoretical density, the calculation gives 9159 kg/m3.

A plane-wave DFT calculation with GGA-PBE was carried out for Zr5BN4 after structural relaxation.

The structure belongs to space group I4/m (No. 87); the cell edges are 7.4006, 7.4006 and 4.6534 Å and the angles 90.00°, 90.00° and 90.00°. Symmetry generates all atoms from Zr at (0.0000, 0.0000, 0.0000), Zr at (0.0995, 0.3019, 0.5000), B at (0.0000, 0.0000, 0.5000) and N at (0.1027, 0.3011, 0.0000).

As for the volume: 12.74 A^3/atom. The value obtained for the total DFT energy (no corrections) is -9.763 eV per atom. For the theoretical density, the calculation gives 6815 kg/m3.